Entry 1:
Compound: Pr3Ga11
Source: Alexandria
Functional: PBE
Structure: relaxed

Cell and atoms, written as CIF:
```
data_Pr3Ga11
_cell_length_a 4.3063
_cell_length_b 8.5732
_cell_length_c 8.5732
_cell_angle_alpha 73.13
_cell_angle_beta 75.45
_cell_angle_gamma 75.45
_space_group_name_H-M_alt 'P 1'
_space_group_IT_number 1
loop_
_space_group_symop_operation_xyz
'x,y,z'
loop_
_atom_site_label
_atom_site_type_symbol
_atom_site_fract_x
_atom_site_fract_y
_atom_site_fract_z
Ga1 Ga 0.3344 0.0400 0.2913
Ga2 Ga 0.8549 0.8745 0.4156
Ga3 Ga 0.1451 0.1255 0.5844
Ga4 Ga 0.8549 0.4156 0.8745
Ga5 Ga 0.5000 0.7216 0.2784
Ga6 Ga 0.6656 0.7087 0.9600
Ga7 Ga 0.1451 0.5844 0.1255
Ga8 Ga 0.0000 0.5000 0.5000
Ga9 Ga 0.6656 0.9600 0.7087
Ga10 Ga 0.3344 0.2913 0.0400
Ga11 Ga 0.5000 0.2784 0.7216
Pr1 Pr 0.0000 0.0000 0.0000
Pr2 Pr 0.3240 0.6760 0.6760
Pr3 Pr 0.6760 0.3240 0.3240
```

## Properties
- M_tot (μB/cell) = 0.0
- raw total energy (eV/atom) = -3.8917

***

Entry 2:
Compound: LiNiP2
Source: Alexandria
Functional: PBE
Structure: relaxed

Cell and atoms, written as CIF:
```
data_LiNiP2
_cell_length_a 4.6761
_cell_length_b 4.6761
_cell_length_c 4.6761
_cell_angle_alpha 135.74
_cell_angle_beta 135.74
_cell_angle_gamma 64.39
_space_group_name_H-M_alt 'P 1'
_space_group_IT_number 1
loop_
_space_group_symop_operation_xyz
'x,y,z'
loop_
_atom_site_label
_atom_site_type_symbol
_atom_site_fract_x
_atom_site_fract_y
_atom_site_fract_z
Ni1 Ni 0.7500 0.2500 0.5000
Li1 Li 0.5000 0.5000 0.0000
P1 P 0.2500 0.7500 0.5000
P2 P 0.0000 0.0000 0.0000
```

## Properties
- M_tot (μB/cell) = 0.0
- raw total energy (eV/atom) = -4.7380

***

Entry 3:
Compound: DyY2Er4Mg
Source: Alexandria
Functional: PBE
Structure: relaxed

Cell and atoms, written as CIF:
```
data_DyY2Er4Mg
_cell_length_a 3.6560
_cell_length_b 6.3260
_cell_length_c 11.4121
_cell_angle_alpha 100.20
_cell_angle_beta 80.78
_cell_angle_gamma 73.20
_space_group_name_H-M_alt 'P 1'
_space_group_IT_number 1
loop_
_space_group_symop_operation_xyz
'x,y,z'
loop_
_atom_site_label
_atom_site_type_symbol
_atom_site_fract_x
_atom_site_fract_y
_atom_site_fract_z
Mg1 Mg 0.0000 0.0000 0.0000
Er1 Er 0.8703 0.8916 0.3679
Er2 Er 0.6089 0.6731 0.1091
Er3 Er 0.3911 0.3269 0.8909
Er4 Er 0.1297 0.1084 0.6321
Y1 Y 0.7500 0.7265 0.7736
Y2 Y 0.2500 0.2735 0.2264
Dy1 Dy 0.5000 0.5000 0.5000
```

## Properties
- M_tot (μB/cell) = 0.0
- raw total energy (eV/atom) = -4.6581

***

Entry 4:
Compound: SrLa2CdGa
Source: Alexandria
Functional: PBE
Structure: relaxed

Cell and atoms, written as CIF:
```
data_SrLa2CdGa
_cell_length_a 5.9479
_cell_length_b 6.0833
_cell_length_c 5.9479
_cell_angle_alpha 90.00
_cell_angle_beta 90.00
_cell_angle_gamma 90.00
_space_group_name_H-M_alt 'P 1'
_space_group_IT_number 1
loop_
_space_group_symop_operation_xyz
'x,y,z'
loop_
_atom_site_label
_atom_site_type_symbol
_atom_site_fract_x
_atom_site_fract_y
_atom_site_fract_z
Sr1 Sr 0.0000 0.5000 0.0000
La1 La 0.5000 0.0000 0.0000
La2 La 0.0000 0.0000 0.5000
Cd1 Cd 0.0000 0.0000 0.0000
Ga1 Ga 0.5000 0.5000 0.5000
```

## Properties
- M_tot (μB/cell) = 2.2
- raw total energy (eV/atom) = -2.7231

***

Entry 5:
Compound: CaZr2F
Source: Alexandria
Functional: PBE
Structure: relaxed

Cell and atoms, written as CIF:
```
data_CaZr2F
_cell_length_a 6.9434
_cell_length_b 6.9434
_cell_length_c 6.4700
_cell_angle_alpha 57.55
_cell_angle_beta 57.55
_cell_angle_gamma 90.00
_space_group_name_H-M_alt 'P 1'
_space_group_IT_number 1
loop_
_space_group_symop_operation_xyz
'x,y,z'
loop_
_atom_site_label
_atom_site_type_symbol
_atom_site_fract_x
_atom_site_fract_y
_atom_site_fract_z
F1 F 0.2500 0.7500 0.5000
F2 F 0.5000 0.5000 0.0000
Ca1 Ca 0.7500 0.2500 0.5000
Ca2 Ca 0.0000 0.0000 0.0000
Zr1 Zr 0.8750 0.5279 0.7500
Zr2 Zr 0.3750 0.7221 0.7500
Zr3 Zr 0.2779 0.1250 0.2500
Zr4 Zr 0.4721 0.6250 0.2500
```

## Properties
- uncorrected formation energy (eV/atom) = -0.45
- M_tot (μB/cell) = 0.0
- ΔE to the lowest computed polymorph (eV/atom) = 0.000

***

Entry 6:
Compound: Dy4CdPd2Ru
Source: Alexandria
Functional: PBE
Structure: relaxed

Cell and atoms, written as CIF:
```
data_Dy4CdPd2Ru
_cell_length_a 5.0079
_cell_length_b 5.0079
_cell_length_c 8.6791
_cell_angle_alpha 73.23
_cell_angle_beta 73.23
_cell_angle_gamma 60.00
_space_group_name_H-M_alt 'P 1'
_space_group_IT_number 1
loop_
_space_group_symop_operation_xyz
'x,y,z'
loop_
_atom_site_label
_atom_site_type_symbol
_atom_site_fract_x
_atom_site_fract_y
_atom_site_fract_z
Ru1 Ru 0.5000 0.5000 0.5000
Dy1 Dy 0.3837 0.3837 0.8490
Dy2 Dy 0.6163 0.6163 0.1510
Dy3 Dy 0.8683 0.8683 0.3950
Dy4 Dy 0.1317 0.1317 0.6050
Pd1 Pd 0.2523 0.2523 0.2432
Pd2 Pd 0.7477 0.7477 0.7568
Cd1 Cd 0.0000 0.0000 0.0000
```

## Properties
- M_tot (μB/cell) = 0.0
- raw total energy (eV/atom) = -5.4871

***

Entry 7:
Compound: Ni7Mo9P6
Source: Alexandria
Functional: PBE
Structure: relaxed

Cell and atoms, written as CIF:
```
data_Ni7Mo9P6
_cell_length_a 7.0318
_cell_length_b 7.0436
_cell_length_c 7.0862
_cell_angle_alpha 69.05
_cell_angle_beta 72.38
_cell_angle_gamma 60.79
_space_group_name_H-M_alt 'P 1'
_space_group_IT_number 1
loop_
_space_group_symop_operation_xyz
'x,y,z'
loop_
_atom_site_label
_atom_site_type_symbol
_atom_site_fract_x
_atom_site_fract_y
_atom_site_fract_z
Mo1 Mo 0.5631 0.2846 0.1391
Mo2 Mo 0.0000 0.0000 0.0000
Mo3 Mo 0.4369 0.7154 0.8609
Mo4 Mo 0.3030 0.0496 0.1628
Mo5 Mo 0.6970 0.9504 0.8372
Mo6 Mo 0.9433 0.8625 0.4477
Mo7 Mo 0.0770 0.5271 0.1571
Mo8 Mo 0.9230 0.4729 0.8429
Mo9 Mo 0.0567 0.1375 0.5523
Ni1 Ni 0.6458 0.6195 0.1689
Ni2 Ni 0.5000 0.0000 0.5000
Ni3 Ni 0.2219 0.4167 0.4960
Ni4 Ni 0.6356 0.2842 0.4944
Ni5 Ni 0.7781 0.5833 0.5040
Ni6 Ni 0.3644 0.7158 0.5056
Ni7 Ni 0.3542 0.3805 0.8311
P1 P 0.2996 0.6679 0.2344
P2 P 0.2954 0.1278 0.7768
P3 P 0.7004 0.3321 0.7656
P4 P 0.9026 0.2641 0.2283
P5 P 0.0974 0.7359 0.7717
P6 P 0.7046 0.8722 0.2232
```

## Properties
- M_tot (μB/cell) = 0.0
- raw total energy (eV/atom) = -8.1979

***

Entry 8:
Compound: PrSnHg3
Source: Alexandria
Functional: PBE
Structure: relaxed

Cell and atoms, written as CIF:
```
data_PrSnHg3
_cell_length_a 3.6649
_cell_length_b 5.0750
_cell_length_c 14.5504
_cell_angle_alpha 90.05
_cell_angle_beta 82.32
_cell_angle_gamma 90.00
_space_group_name_H-M_alt 'P 1'
_space_group_IT_number 1
loop_
_space_group_symop_operation_xyz
'x,y,z'
loop_
_atom_site_label
_atom_site_type_symbol
_atom_site_fract_x
_atom_site_fract_y
_atom_site_fract_z
Hg1 Hg 0.7125 0.6330 0.7532
Hg2 Hg 0.7734 0.1338 0.8553
Hg3 Hg 0.0794 0.6329 0.5568
Hg4 Hg 0.6858 0.1344 0.4712
Hg5 Hg 0.6412 0.1345 0.0567
Hg6 Hg 0.5744 0.6349 0.1536
Sn1 Sn 0.4749 0.6351 0.3576
Sn2 Sn 0.3416 0.1317 0.6747
Pr1 Pr 0.0280 0.1350 0.2545
Pr2 Pr 0.1851 0.6343 0.9569
```

## Properties
- M_tot (μB/cell) = 0.0
- raw total energy (eV/atom) = -2.1709

***

V for the records above, in order: 288, 49, 242, 215, 102, 178, 283, 134 Å³/f.u.